# BaTcMo2 (PBE, optimized geometry)
# crystal system: cubic
# formation enthalpy at 0 K: 4.883 eV per formula unit
data_BaTcMo2
_space_group_name_H-M_alt 'F m -3 m'
_space_group_IT_number 225
_space_group_name_Hall '-F 4 2 3'
_cell_length_a 6.695
_cell_length_b 6.695
_cell_length_c 6.695
_cell_angle_alpha 90.00
_cell_angle_beta 90.00
_cell_angle_gamma 90.00
loop_
_atom_site_label
_atom_site_fract_x
_atom_site_fract_y
_atom_site_fract_z
Ba1 0.000 0.000 0.000
Tc1 0.000 0.000 0.500
Mo1 0.250 0.250 0.250